A plane-wave DFT calculation with GGA+U was carried out for a geometry-optimized Te2WNF structure.

a b c (Å): 5.4196 5.4196 3.8033
angles (deg): 90.00 90.00 90.00
Closest atoms and distances in Å follow each position.
Atoms (fractional coordinates):
N  0.0000  0.0000  0.5000  2 W 1.90
Te  0.0000  0.5000  0.0000  2 W 2.71
Te  0.5000  0.0000  0.0000  2 W 2.71
W  0.0000  0.0000  0.0000  2 N 1.90
F  0.5000  0.5000  0.5000  8 Te 3.31

Properties
**Calculated density**: 7.02 Mg/m³
**Calculated volume**: 22.3 Å³ per atom
**Energy above the lowest structure with this stoichiometry**: 0 meV per atom
**Fermi-level density of states**: 5.08 states/eV per cell
**Calculated total energy**: -4.440 eV per atom